No. 1
The following is a DFT calculation (GGA-PBE) of an optimized crystal structure of CaCe5Pb4.

Calculated values
- formation energy (eV/atom) = -0.168
- volume (Å³ per atom) = 29.7
- magnetic moment (μB/cell) = 4.02
- space group = No. 12

Unit cell a=5.5227 b=6.6055 c=8.6820 alpha=82.57 beta=108.55 gamma=90.00
Fractional positions:
Ca 0.5000 0.0000 0.0000
Ce 0.7481 0.5953 0.4962
Ce 0.8677 0.2546 0.7353
Ce 0.1323 0.7454 0.2647
Ce 0.5000 0.5000 0.0000
Ce 0.2519 0.4047 0.5038
Pb 0.3154 0.8869 0.6307
Pb 0.9324 0.7497 0.8649
Pb 0.6846 0.1131 0.3693
Pb 0.0676 0.2503 0.1351

No. 2
The following is a DFT calculation (GGA-PBE) of an optimized crystal structure of CaCe2Pb3.

Calculated values
- formation energy (eV/atom) = -0.438
- volume (Å³ per atom) = 29.8
- magnetic moment (μB/cell) = 2.73
- space group = No. 123

Unit cell a=3.5962 b=3.5962 c=13.8287 alpha=90.00 beta=90.00 gamma=90.00
Fractional positions:
Ca 0.5000 0.5000 0.5000
Ce 0.5000 0.5000 0.8340
Ce 0.5000 0.5000 0.1660
Pb 0.0000 0.0000 0.0000
Pb 0.0000 0.0000 0.6652
Pb 0.0000 0.0000 0.3348

No. 3
The following is a DFT calculation (GGA-PBE) of an optimized crystal structure of Ca2CePb3.

Calculated values
- excess energy over the best structure of this formula in the dataset (meV/atom) = 0
- formation energy (eV/atom) = -0.478
- volume (Å³ per atom) = 30.0
- magnetic moment (μB/cell) = 1.44
- space group = No. 123

Unit cell a=3.6102 b=3.6102 c=13.8170 alpha=90.00 beta=90.00 gamma=90.00
Fractional positions:
Ca 0.5000 0.5000 0.8351
Ca 0.5000 0.5000 0.1649
Ce 0.5000 0.5000 0.5000
Pb 0.0000 0.0000 0.0000
Pb 0.0000 0.0000 0.6686
Pb 0.0000 0.0000 0.3314

No. 4
The following is a DFT calculation (GGA-PBE) of an optimized crystal structure of CaCe2Pb.

Calculated values
- excess energy over the best structure of this formula in the dataset (meV/atom) = 282
- formation energy (eV/atom) = 0.095
- volume (Å³ per atom) = 31.2
- magnetic moment (μB/cell) = 1.58
- space group = No. 166

Unit cell a=3.4029 b=3.4029 c=12.6012 alpha=82.24 beta=82.24 gamma=60.00
Fractional positions:
Pb 0.5000 0.5000 0.5000
Ca 0.0000 0.0000 0.0000
Ce 0.0910 0.0910 0.7271
Ce 0.9090 0.9090 0.2729

No. 5
The following is a DFT calculation (GGA-PBE) of an optimized crystal structure of CaCePmPb.

Calculated values
- formation energy (eV/atom) = -0.023
- volume (Å³ per atom) = 31.5
- magnetic moment (μB/cell) = 2.70
- space group = No. 216

Unit cell a=5.6245 b=5.6245 c=5.6245 alpha=60.00 beta=60.00 gamma=60.00
Fractional positions:
Pb 0.2500 0.2500 0.2500
Ca 0.5000 0.5000 0.5000
Ce 0.0000 0.0000 0.0000
Pm 0.7500 0.7500 0.7500

No. 6
The following is a DFT calculation (GGA-PBE) of an optimized crystal structure of CaCeRhPb.

Calculated values
- formation energy (eV/atom) = -0.359
- volume (Å³ per atom) = 25.2
- magnetic moment (μB/cell) = 0.60
- space group = No. 216

Unit cell a=5.2243 b=5.2243 c=5.2243 alpha=60.00 beta=60.00 gamma=60.00
Fractional positions:
Pb 0.5000 0.5000 0.5000
Ca 0.2500 0.2500 0.2500
Rh 0.0000 0.0000 0.0000
Ce 0.7500 0.7500 0.7500

No. 7
The following is a DFT calculation (GGA-PBE) of an optimized crystal structure of CaCeSbPb.

Calculated values
- uncorrected energy (eV/atom) = -4.5150
- volume (Å³ per atom) = 29.7
- magnetic moment (μB/cell) = 0.95
- space group = No. 216

Unit cell a=5.5155 b=5.5155 c=5.5155 alpha=60.00 beta=60.00 gamma=60.00
Fractional positions:
Pb 0.5000 0.5000 0.5000
Sb 0.0000 0.0000 0.0000
Ca 0.2500 0.2500 0.2500
Ce 0.7500 0.7500 0.7500

No. 8
The following is a DFT calculation (GGA-PBE) of an optimized crystal structure of CaCeSnPb.

Calculated values
- excess energy over the best structure of this formula in the dataset (meV/atom) = 0
- formation energy (eV/atom) = -0.519
- volume (Å³ per atom) = 29.3
- magnetic moment (μB/cell) = 0.86
- space group = No. 47

Unit cell a=4.4446 b=5.1110 c=5.1525 alpha=90.00 beta=90.00 gamma=90.00
Fractional positions:
Ca 0.5000 0.5000 0.0000
Ce 0.5000 0.0000 0.5000
Sn 0.0000 0.5000 0.5000
Pb 0.0000 0.0000 0.0000